A relaxed structure of Ni2ICl. Source: Alexandria via LeMat-Bulk, functional PBE-GGA.

a = 5.451 Å, b = 5.451 Å, c = 11.495 Å
α = 90.00°, β = 90.00°, γ = 90.00°
Element x y z (fractional)
Ni: 0.204 0.250 0.125
Ni: 0.250 0.704 0.375
Ni: 0.250 0.796 0.875
Ni: 0.296 0.250 0.625
Ni: 0.704 0.750 0.625
Ni: 0.750 0.204 0.875
Ni: 0.750 0.296 0.375
Ni: 0.796 0.750 0.125
I: 0.000 0.000 0.500
I: 0.000 0.500 0.750
I: 0.500 0.000 0.250
I: 0.500 0.500 0.000
Cl: 0.000 0.000 0.000
Cl: 0.000 0.500 0.250
Cl: 0.500 0.000 0.750
Cl: 0.500 0.500 0.500

- calculated density (kg/m3) = 5440
- ΔE_f (raw) (eV/f.u.) = 0.3
- energy above the most stable polymorph in this dataset (meV/atom) = 0

***

A relaxed structure of AlCuCl2. Source: Alexandria via LeMat-Bulk, functional PBE-GGA.

a = 3.431 Å, b = 3.943 Å, c = 6.196 Å
α = 90.00°, β = 90.00°, γ = 90.00°
Element x y z (fractional)
Al: 0.000 0.000 0.000
Cu: 0.500 0.000 0.500
Cl: 0.000 0.500 0.500
Cl: 0.500 0.500 0.000

- calculated density (kg/m3) = 3198
- ΔE_f (raw) (eV/f.u.) = -0.3
- energy above the most stable polymorph in this dataset (meV/atom) = 566

***

A relaxed structure of CaSb2Mo. Source: Alexandria via LeMat-Bulk, functional PBE-GGA.

a = 3.431 Å, b = 3.431 Å, c = 7.756 Å
α = 90.00°, β = 90.00°, γ = 90.00°
Element x y z (fractional)
Ca: 0.000 0.000 0.000
Sb: 0.500 0.500 0.295
Sb: 0.500 0.500 0.705
Mo: 0.000 0.000 0.500

- calculated density (kg/m3) = 6905
- ΔE_f (raw) (eV/f.u.) = -1.0
- energy above the most stable polymorph in this dataset (meV/atom) = 0

***

A relaxed structure of Cd2PbBr. Source: Alexandria via LeMat-Bulk, functional PBE-GGA.

a = 7.702 Å, b = 7.702 Å, c = 7.702 Å
α = 90.00°, β = 90.00°, γ = 90.00°
Element x y z (fractional)
Cd: 0.250 0.250 0.250
Cd: 0.250 0.250 0.750
Cd: 0.250 0.750 0.250
Cd: 0.250 0.750 0.750
Cd: 0.750 0.250 0.250
Cd: 0.750 0.250 0.750
Cd: 0.750 0.750 0.250
Cd: 0.750 0.750 0.750
Pb: 0.000 0.000 0.000
Pb: 0.000 0.500 0.500
Pb: 0.500 0.000 0.500
Pb: 0.500 0.500 0.000
Br: 0.000 0.000 0.500
Br: 0.000 0.500 0.000
Br: 0.500 0.000 0.000
Br: 0.500 0.500 0.500

- calculated density (kg/m3) = 7442
- ΔE_f (raw) (eV/f.u.) = 0.2
- energy above the most stable polymorph in this dataset (meV/atom) = 236

***

A relaxed structure of GaSe3I. Source: Alexandria via LeMat-Bulk, functional PBE-GGA.

a = 5.048 Å, b = 5.048 Å, c = 5.048 Å
α = 90.00°, β = 90.00°, γ = 90.00°
Element x y z (fractional)
Ga: 0.000 0.000 0.000
Se: 0.000 0.000 0.500
Se: 0.000 0.500 0.000
Se: 0.500 0.000 0.000
I: 0.500 0.500 0.500

- calculated density (kg/m3) = 5595
- ΔE_f (raw) (eV/f.u.) = 1.9
- energy above the most stable polymorph in this dataset (meV/atom) = 0

***

A relaxed structure of CeAlPt4. Source: Alexandria via LeMat-Bulk, functional PBE-GGA.

a = 5.373 Å, b = 5.373 Å, c = 5.373 Å
α = 60.00°, β = 60.00°, γ = 60.00°
Element x y z (fractional)
Ce: 0.000 0.000 0.000
Al: 0.750 0.750 0.750
Pt: 0.376 0.376 0.376
Pt: 0.376 0.376 0.873
Pt: 0.376 0.873 0.376
Pt: 0.873 0.376 0.376

- calculated density (kg/m3) = 14342
- energy above the most stable polymorph in this dataset (meV/atom) = 134
- formation energy (meV per atom) = -808

***

A relaxed structure of LiZrIr2. Source: Alexandria via LeMat-Bulk, functional PBE-GGA.

a = 6.329 Å, b = 6.329 Å, c = 6.329 Å
α = 90.00°, β = 90.00°, γ = 90.00°
Element x y z (fractional)
Li: 0.000 0.000 0.000
Li: 0.000 0.500 0.500
Li: 0.500 0.000 0.500
Li: 0.500 0.500 0.000
Zr: 0.250 0.250 0.750
Zr: 0.250 0.750 0.250
Zr: 0.750 0.250 0.250
Zr: 0.750 0.750 0.750
Ir: 0.000 0.000 0.500
Ir: 0.000 0.500 0.000
Ir: 0.250 0.250 0.250
Ir: 0.250 0.750 0.750
Ir: 0.500 0.000 0.000
Ir: 0.500 0.500 0.500
Ir: 0.750 0.250 0.750
Ir: 0.750 0.750 0.250

- calculated density (kg/m3) = 12647
- energy above the most stable polymorph in this dataset (meV/atom) = 306
- formation energy (meV per atom) = -262

***

A relaxed structure of KSn3Ir. Source: Alexandria via LeMat-Bulk, functional PBE-GGA.

a = 5.290 Å, b = 5.290 Å, c = 5.290 Å
α = 90.00°, β = 90.00°, γ = 90.00°
Element x y z (fractional)
K: 0.000 0.000 0.000
Sn: 0.000 0.500 0.500
Sn: 0.500 0.000 0.500
Sn: 0.500 0.500 0.000
Ir: 0.500 0.500 0.500

- calculated density (kg/m3) = 6591
- energy above the most stable polymorph in this dataset (meV/atom) = 321
- formation energy (meV per atom) = 117

***

A relaxed structure of Tl2Hg2Rh. Source: Alexandria via LeMat-Bulk, functional PBE-GGA.

a = 3.878 Å, b = 3.878 Å, c = 17.504 Å
α = 90.00°, β = 90.00°, γ = 90.00°
Element x y z (fractional)
Tl: 0.000 0.000 0.085
Tl: 0.000 0.000 0.915
Tl: 0.500 0.500 0.415
Tl: 0.500 0.500 0.585
Hg: 0.000 0.500 0.250
Hg: 0.000 0.500 0.750
Hg: 0.500 0.000 0.250
Hg: 0.500 0.000 0.750
Rh: 0.000 0.000 0.500
Rh: 0.500 0.500 0.000

- calculated density (kg/m3) = 11518
- energy above the most stable polymorph in this dataset (meV/atom) = 388
- formation energy (meV per atom) = 391

***

A relaxed structure of Ac2Ni2Sn3. Source: Alexandria via LeMat-Bulk, functional PBE-GGA.

a = 11.078 Å, b = 4.352 Å, c = 7.957 Å
α = 90.00°, β = 114.23°, γ = 90.00°
Element x y z (fractional)
Ac: 0.143 0.000 0.290
Ac: 0.357 0.500 0.710
Ac: 0.643 0.500 0.290
Ac: 0.857 0.000 0.710
Ni: 0.150 0.000 0.747
Ni: 0.350 0.500 0.253
Ni: 0.650 0.500 0.747
Ni: 0.850 0.000 0.253
Sn: 0.000 0.500 0.500
Sn: 0.134 0.500 0.942
Sn: 0.366 0.000 0.058
Sn: 0.500 0.000 0.500
Sn: 0.634 0.000 0.942
Sn: 0.866 0.500 0.058

- calculated density (kg/m3) = 8806
- energy above the most stable polymorph in this dataset (meV/atom) = 22
- formation energy (meV per atom) = -448

***

A relaxed structure of PmZrHgBi. Source: Alexandria via LeMat-Bulk, functional PBE-GGA.

a = 7.476 Å, b = 7.476 Å, c = 7.476 Å
α = 90.00°, β = 90.00°, γ = 90.00°
Element x y z (fractional)
Pm: 0.000 0.000 0.000
Pm: 0.000 0.500 0.500
Pm: 0.500 0.000 0.500
Pm: 0.500 0.500 0.000
Zr: 0.000 0.000 0.500
Zr: 0.000 0.500 0.000
Zr: 0.500 0.000 0.000
Zr: 0.500 0.500 0.500
Hg: 0.250 0.250 0.750
Hg: 0.250 0.750 0.250
Hg: 0.750 0.250 0.250
Hg: 0.750 0.750 0.750
Bi: 0.250 0.250 0.250
Bi: 0.250 0.750 0.750
Bi: 0.750 0.250 0.750
Bi: 0.750 0.750 0.250

- calculated density (kg/m3) = 10268
- formation energy (meV per atom) = -277

***

A relaxed structure of NaTaMo2. Source: Alexandria via LeMat-Bulk, functional PBE-GGA.

a = 7.278 Å, b = 7.278 Å, c = 5.573 Å
α = 90.00°, β = 90.00°, γ = 90.00°
Element x y z (fractional)
Na: 0.000 0.000 0.000
Na: 0.000 0.500 0.250
Na: 0.500 0.000 0.750
Na: 0.500 0.500 0.500
Ta: 0.000 0.000 0.500
Ta: 0.000 0.500 0.750
Ta: 0.500 0.000 0.250
Ta: 0.500 0.500 0.000
Mo: 0.243 0.250 0.625
Mo: 0.250 0.743 0.875
Mo: 0.250 0.757 0.375
Mo: 0.257 0.250 0.125
Mo: 0.743 0.750 0.125
Mo: 0.750 0.243 0.375
Mo: 0.750 0.257 0.875
Mo: 0.757 0.750 0.625

- calculated density (kg/m3) = 8906
- energy above the most stable polymorph in this dataset (meV/atom) = 449
- formation energy (meV per atom) = 1341

***

A relaxed structure of TbEr2Pt. Source: Alexandria via LeMat-Bulk, functional PBE-GGA.

a = 7.028 Å, b = 9.505 Å, c = 6.469 Å
α = 90.00°, β = 90.00°, γ = 90.00°
Element x y z (fractional)
Tb: 0.024 0.250 0.130
Tb: 0.476 0.750 0.630
Tb: 0.524 0.250 0.370
Tb: 0.976 0.750 0.870
Er: 0.179 0.061 0.678
Er: 0.179 0.439 0.678
Er: 0.321 0.561 0.178
Er: 0.321 0.939 0.178
Er: 0.679 0.061 0.822
Er: 0.679 0.439 0.822
Er: 0.821 0.561 0.322
Er: 0.821 0.939 0.322
Pt: 0.112 0.750 0.445
Pt: 0.388 0.250 0.945
Pt: 0.612 0.750 0.055
Pt: 0.888 0.250 0.555

- calculated density (kg/m3) = 10583
- energy above the most stable polymorph in this dataset (meV/atom) = 0
- formation energy (meV per atom) = -729

***

A relaxed structure of Ba12Na6Li. Source: Alexandria via LeMat-Bulk, functional PBE-GGA.

a = 10.085 Å, b = 10.085 Å, c = 10.085 Å
α = 87.56°, β = 87.56°, γ = 87.56°
Element x y z (fractional)
Ba: 0.036 0.302 0.939
Ba: 0.061 0.964 0.698
Ba: 0.133 0.352 0.473
Ba: 0.302 0.939 0.036
Ba: 0.352 0.473 0.133
Ba: 0.473 0.133 0.352
Ba: 0.527 0.867 0.648
Ba: 0.648 0.527 0.867
Ba: 0.698 0.061 0.964
Ba: 0.867 0.648 0.527
Ba: 0.939 0.036 0.302
Ba: 0.964 0.698 0.061
Na: 0.242 0.752 0.398
Na: 0.248 0.602 0.758
Na: 0.398 0.242 0.752
Na: 0.602 0.758 0.248
Na: 0.752 0.398 0.242
Na: 0.758 0.248 0.602
Li: 0.500 0.500 0.500

- calculated density (kg/m3) = 2910
- formation energy (meV per atom) = 62

***

A relaxed structure of KLiAu. Source: Alexandria via LeMat-Bulk, functional PBE-GGA.

a = 3.658 Å, b = 3.682 Å, c = 12.038 Å
α = 90.00°, β = 90.00°, γ = 90.00°
Element x y z (fractional)
K: 0.000 0.000 0.000
K: 0.500 0.500 0.500
Li: 0.000 0.000 0.263
Li: 0.500 0.500 0.763
Au: 0.000 0.000 0.706
Au: 0.500 0.500 0.206

- calculated density (kg/m3) = 4978
- energy above the most stable polymorph in this dataset (meV/atom) = 67
- formation energy (meV per atom) = -245

***

A relaxed structure of Sc5ZnHg6. Source: Alexandria via LeMat-Bulk, functional PBE-GGA.

a = 8.561 Å, b = 8.561 Å, c = 4.896 Å
α = 106.57°, β = 106.57°, γ = 119.88°
Element x y z (fractional)
Sc: 0.000 0.000 0.000
Sc: 0.168 0.832 0.500
Sc: 0.337 0.663 0.000
Sc: 0.663 0.337 0.000
Sc: 0.832 0.168 0.500
Zn: 0.500 0.500 0.500
Hg: 0.088 0.419 0.253
Hg: 0.254 0.254 0.754
Hg: 0.419 0.088 0.253
Hg: 0.581 0.912 0.747
Hg: 0.746 0.746 0.246
Hg: 0.912 0.581 0.747

- calculated density (kg/m3) = 9695
- formation energy (meV per atom) = -358

***

A relaxed structure of KMo2Pt. Source: Alexandria via LeMat-Bulk, functional PBE-GGA.

a = 2.967 Å, b = 5.411 Å, c = 9.987 Å
α = 90.00°, β = 90.00°, γ = 90.00°
Element x y z (fractional)
K: 0.000 0.000 0.000
K: 0.500 0.500 0.500
Mo: 0.000 0.000 0.524
Mo: 0.000 0.500 0.212
Mo: 0.500 0.000 0.712
Mo: 0.500 0.500 0.024
Pt: 0.000 0.500 0.788
Pt: 0.500 0.000 0.288

- calculated density (kg/m3) = 8825
- energy above the most stable polymorph in this dataset (meV/atom) = 464
- formation energy (meV per atom) = 868

***

A relaxed structure of K2SrHfTe. Source: Alexandria via LeMat-Bulk, functional PBE-GGA.

a = 6.442 Å, b = 6.442 Å, c = 6.351 Å
α = 90.00°, β = 90.00°, γ = 90.00°
Element x y z (fractional)
K: 0.000 0.500 0.000
K: 0.500 0.000 0.000
Sr: 0.000 0.000 0.500
Hf: 0.500 0.500 0.500
Te: 0.000 0.000 0.000

- calculated density (kg/m3) = 2973
- ΔE_f (raw) (eV/f.u.) = 2.3

***

A relaxed structure of La3Sm7Y. Source: Alexandria via LeMat-Bulk, functional PBE-GGA.

a = 6.649 Å, b = 6.868 Å, c = 8.805 Å
α = 100.14°, β = 98.82°, γ = 95.96°
Element x y z (fractional)
La: 0.000 0.000 0.000
La: 0.186 0.560 0.170
La: 0.814 0.440 0.830
Sm: 0.011 0.770 0.576
Sm: 0.290 0.273 0.791
Sm: 0.433 0.789 0.854
Sm: 0.500 0.500 0.500
Sm: 0.567 0.211 0.146
Sm: 0.710 0.727 0.209
Sm: 0.989 0.230 0.424
Y: 0.500 0.000 0.500

- calculated density (kg/m3) = 6677
- energy above the most stable polymorph in this dataset (meV/atom) = 0
- formation energy (meV per atom) = 114

***

A relaxed structure of Ho2Sc3Si4. Source: Alexandria via LeMat-Bulk, functional PBE-GGA.

a = 7.069 Å, b = 13.941 Å, c = 7.373 Å
α = 90.00°, β = 90.00°, γ = 90.00°
Element x y z (fractional)
Ho: 0.011 0.097 0.176
Ho: 0.011 0.403 0.176
Ho: 0.489 0.597 0.676
Ho: 0.489 0.903 0.676
Ho: 0.511 0.097 0.324
Ho: 0.511 0.403 0.324
Ho: 0.989 0.597 0.824
Ho: 0.989 0.903 0.824
Sc: 0.162 0.750 0.504
Sc: 0.170 0.125 0.677
Sc: 0.170 0.375 0.677
Sc: 0.330 0.625 0.177
Sc: 0.330 0.875 0.177
Sc: 0.338 0.250 0.004
Sc: 0.662 0.750 0.996
Sc: 0.670 0.125 0.823
Sc: 0.670 0.375 0.823
Sc: 0.830 0.625 0.323
Sc: 0.830 0.875 0.323
Sc: 0.838 0.250 0.496
Si: 0.033 0.750 0.114
Si: 0.158 0.539 0.465
Si: 0.158 0.961 0.465
Si: 0.214 0.250 0.372
Si: 0.286 0.750 0.872
Si: 0.342 0.039 0.965
Si: 0.342 0.461 0.965
Si: 0.467 0.250 0.614
Si: 0.533 0.750 0.386
Si: 0.658 0.539 0.035
Si: 0.658 0.961 0.035
Si: 0.714 0.250 0.128
Si: 0.786 0.750 0.628
Si: 0.842 0.039 0.535
Si: 0.842 0.461 0.535
Si: 0.967 0.250 0.886

- calculated density (kg/m3) = 5275
- ΔE_f (raw) (eV/f.u.) = -7.5
- energy above the most stable polymorph in this dataset (meV/atom) = 0

***

A relaxed structure of SrZr2Mn. Source: Alexandria via LeMat-Bulk, functional PBE-GGA.

a = 5.427 Å, b = 3.272 Å, c = 5.787 Å
α = 90.00°, β = 105.49°, γ = 90.00°
Element x y z (fractional)
Sr: 0.000 0.000 0.000
Zr: 0.000 0.500 0.500
Zr: 0.500 0.000 0.500
Mn: 0.500 0.500 0.000

- calculated density (kg/m3) = 5450
- energy above the most stable polymorph in this dataset (meV/atom) = 301
- formation energy (meV per atom) = 614

***

A relaxed structure of LuNpTcOs. Source: Alexandria via LeMat-Bulk, functional PBE-GGA.

a = 6.709 Å, b = 6.709 Å, c = 6.709 Å
α = 90.00°, β = 90.00°, γ = 90.00°
Element x y z (fractional)
Lu: 0.000 0.000 0.000
Lu: 0.000 0.500 0.500
Lu: 0.500 0.000 0.500
Lu: 0.500 0.500 0.000
Np: 0.000 0.000 0.500
Np: 0.000 0.500 0.000
Np: 0.500 0.000 0.000
Np: 0.500 0.500 0.500
Tc: 0.250 0.250 0.750
Tc: 0.250 0.750 0.250
Tc: 0.750 0.250 0.250
Tc: 0.750 0.750 0.750
Os: 0.250 0.250 0.250
Os: 0.250 0.750 0.750
Os: 0.750 0.250 0.750
Os: 0.750 0.750 0.250

- calculated density (kg/m3) = 15400
- formation energy (meV per atom) = -49

***

A relaxed structure of LaSm2Rh. Source: Alexandria via LeMat-Bulk, functional PBE-GGA.

a = 3.967 Å, b = 3.967 Å, c = 28.194 Å
α = 90.00°, β = 90.00°, γ = 120.00°
Element x y z (fractional)
La: 0.000 0.000 0.000
La: 0.333 0.667 0.667
La: 0.667 0.333 0.333
Sm: 0.000 0.000 0.225
Sm: 0.000 0.000 0.445
Sm: 0.333 0.667 0.111
Sm: 0.333 0.667 0.892
Sm: 0.667 0.333 0.559
Sm: 0.667 0.333 0.778
Rh: 0.000 0.000 0.835
Rh: 0.333 0.667 0.502
Rh: 0.667 0.333 0.169

- calculated density (kg/m3) = 7033
- energy above the most stable polymorph in this dataset (meV/atom) = 142
- formation energy (meV per atom) = -319

***

A relaxed structure of CsNpPdSe2. Source: Alexandria via LeMat-Bulk, functional PBE-GGA.

a = 8.766 Å, b = 4.916 Å, c = 7.851 Å
α = 90.00°, β = 100.57°, γ = 90.00°
Element x y z (fractional)
Cs: 0.000 0.188 0.250
Cs: 0.000 0.812 0.750
Np: 0.500 0.490 0.750
Np: 0.500 0.510 0.250
Pd: 0.500 0.000 0.000
Pd: 0.500 0.000 0.500
Se: 0.276 0.314 0.958
Se: 0.276 0.686 0.458
Se: 0.724 0.314 0.542
Se: 0.724 0.686 0.042

- calculated density (kg/m3) = 6333
- ΔE_f (raw) (eV/f.u.) = -4.4